# 1
MgRuCl2 | PBE | optimized geometry

Calculated values
* uncorrected formation energy: -0.2936 eV/atom
* space group: Cmm2
* magnetic moment: 1.130 Bohr magnetons per cell

Lattice parameters (Å, degrees): 3.257 3.257 9.217 90.00 90.00 117.89
Last column: magnetic moment on the atom in μB.
Fractional positions:
Cl (0.000, 0.000, 0.925)  0.05
Cl (0.500, 0.500, 0.323)  0.00
Mg (0.000, 0.000, 0.502)  0.00
Ru (0.500, 0.500, 0.750)  1.04

=====

# 2
MgRuCl2 | PBE | optimized geometry

Calculated values
* uncorrected formation energy: -0.3459 eV/atom
* space group: C2/m
* magnetic moment: 1.437 Bohr magnetons per cell

Lattice parameters (Å, degrees): 6.807 6.807 4.738 85.52 85.52 27.01
Last column: magnetic moment on the atom in μB.
Fractional positions:
Cl (0.885, 0.885, 0.037)  0.04
Cl (0.615, 0.615, 0.463)  0.04
Mg (0.250, 0.250, 0.250)  -0.01
Ru (0.750, 0.750, 0.750)  1.29

=====

# 3
MgRu2Cl | PBE | optimized geometry

Calculated values
* uncorrected formation energy: 0.6913 eV/atom
* space group: I-42d
* magnetic moment: 0.000 Bohr magnetons per cell

Lattice parameters (Å, degrees): 7.187 7.187 5.693 50.86 50.86 90.00
Fractional positions:
Ru (0.705, 0.125, 0.250)
Ru (0.045, 0.625, 0.250)
Ru (0.375, 0.295, 0.750)
Ru (0.875, 0.955, 0.750)
Mg (0.500, 0.500, 0.000)
Mg (0.250, 0.750, 0.500)
Cl (0.000, 0.000, 0.000)
Cl (0.750, 0.250, 0.500)

=====

# 4
MgRuCl2 | PBE | optimized geometry

Calculated values
* uncorrected formation energy: -0.0773 eV/atom
* space group: C2/m
* magnetic moment: 1.101 Bohr magnetons per cell

Lattice parameters (Å, degrees): 5.067 5.067 3.814 67.01 67.01 101.67
Last column: magnetic moment on the atom in μB.
Fractional positions:
Cl (0.000, 0.000, 0.000)  0.02
Cl (0.500, 0.500, 0.000)  0.02
Mg (0.500, 0.000, 0.500)  -0.01
Ru (0.000, 0.500, 0.500)  1.04

=====

# 5
MgRu2Cl | PBE | optimized geometry

Calculated values
* uncorrected formation energy: 0.2127 eV/atom
* space group: C2/m
* magnetic moment: 0.000 Bohr magnetons per cell

Lattice parameters (Å, degrees): 5.635 5.635 4.125 87.54 87.54 29.78
Fractional positions:
Cl (0.750, 0.750, 0.750)
Mg (0.250, 0.250, 0.250)
Ru (0.961, 0.961, 0.021)
Ru (0.539, 0.539, 0.479)

=====

# 6
MgRu2Cl | PBE | optimized geometry

Calculated values
* uncorrected formation energy: 0.4526 eV/atom
* space group: Imm2
* magnetic moment: 0.001 Bohr magnetons per cell

Lattice parameters (Å, degrees): 5.379 5.379 5.379 148.40 129.98 60.38
Fractional positions:
Cl (0.523, 0.523, 0.000)
Mg (0.264, 0.764, 0.500)
Ru (0.975, 0.975, 0.000)
Ru (0.738, 0.238, 0.500)

=====

# 7
Mg2RuCl | PBE | optimized geometry

Calculated values
* uncorrected formation energy: -0.3584 eV/atom
* space group: Cmmm
* magnetic moment: 0.567 Bohr magnetons per cell

Lattice parameters (Å, degrees): 3.113 3.113 7.411 90.00 90.00 90.09
Last column: magnetic moment on the atom in μB.
Fractional positions:
Cl (0.500, 0.500, 0.750)  -0.01
Mg (0.000, 0.000, 0.028)  -0.01
Mg (0.000, 0.000, 0.472)  -0.01
Ru (0.500, 0.500, 0.250)  0.56

=====

# 8
MgRu2Cl | PBE | optimized geometry

Calculated values
* uncorrected formation energy: 0.5333 eV/atom
* space group: Cmmm
* magnetic moment: 0.001 Bohr magnetons per cell

Lattice parameters (Å, degrees): 2.902 2.902 8.633 90.00 90.00 120.33
Fractional positions:
Cl (0.500, 0.500, 0.250)
Mg (0.500, 0.500, 0.750)
Ru (0.000, 0.000, 0.013)
Ru (0.000, 0.000, 0.487)

=====

# 9
Mg3RuCl | PBE | optimized geometry

Calculated values
* uncorrected formation energy: 0.4077 eV/atom
* space group: Pm-3m
* magnetic moment: 1.000 Bohr magnetons per cell

Lattice parameters (Å, degrees): 4.698 4.698 4.698 90.00 90.00 90.00
Last column: magnetic moment on the atom in μB.
Fractional positions:
Ru (0.500, 0.500, 0.500)  1.19
Mg (0.000, 0.500, 0.000)  -0.01
Mg (0.000, 0.000, 0.500)  -0.02
Mg (0.500, 0.000, 0.000)  -0.02
Cl (0.000, 0.000, 0.000)  -0.02

=====

# 10
MgRuCl2 | PBE | optimized geometry

Calculated values
* uncorrected formation energy: -0.0652 eV/atom
* space group: Immm
* magnetic moment: 2.003 Bohr magnetons per cell

Lattice parameters (Å, degrees): 5.224 5.224 5.224 144.42 111.73 79.43
Last column: magnetic moment on the atom in μB.
Fractional positions:
Cl (0.004, 0.004, 0.000)  0.05
Cl (0.496, 0.496, 0.000)  0.05
Mg (0.250, 0.750, 0.500)  -0.01
Ru (0.750, 0.250, 0.500)  1.88

=====

# 11
MgRu2Cl | PBE | optimized geometry

Calculated values
* uncorrected formation energy: 0.4218 eV/atom
* space group: P4/mmm
* magnetic moment: 0.000 Bohr magnetons per cell

Lattice parameters (Å, degrees): 5.955 3.500 3.500 90.00 90.00 90.00
Fractional positions:
Cl (0.500, 0.500, 0.000)
Mg (0.500, 0.000, 0.500)
Ru (0.000, 0.000, 0.000)
Ru (0.000, 0.500, 0.500)

=====

# 12
MgRuCl2 | PBE | optimized geometry

Calculated values
* uncorrected formation energy: -0.3077 eV/atom
* space group: Cm
* magnetic moment: 0.000 Bohr magnetons per cell

Lattice parameters (Å, degrees): 8.269 8.269 3.525 78.63 78.63 21.74
Fractional positions:
Cl (0.015, 0.015, 0.996)
Cl (0.255, 0.255, 0.235)
Mg (0.436, 0.436, 0.571)
Ru (0.794, 0.794, 0.699)

=====

# 13
MgRu2Cl | PBE | optimized geometry

Calculated values
* uncorrected formation energy: 0.8400 eV/atom
* space group: Fm-3m
* magnetic moment: 0.000 Bohr magnetons per cell

Lattice parameters (Å, degrees): 4.401 4.401 4.401 60.00 60.00 60.00
Fractional positions:
Ru (0.250, 0.250, 0.250)
Ru (0.750, 0.750, 0.750)
Mg (0.000, 0.000, 0.000)
Cl (0.500, 0.500, 0.500)

=====

# 14
Mg2RuCl | PBE | optimized geometry

Calculated values
* uncorrected formation energy: 0.2329 eV/atom
* space group: I4/mmm
* magnetic moment: 0.000 Bohr magnetons per cell

Lattice parameters (Å, degrees): 5.074 5.074 5.074 132.52 132.52 69.41
Fractional positions:
Cl (0.750, 0.250, 0.500)
Mg (0.000, 0.000, 0.000)
Mg (0.500, 0.500, 0.000)
Ru (0.250, 0.750, 0.500)

=====

# 15
Mg2RuCl | PBE | optimized geometry

Calculated values
* uncorrected formation energy: -0.1118 eV/atom
* space group: Cmmm
* magnetic moment: 1.145 Bohr magnetons per cell

Lattice parameters (Å, degrees): 4.838 7.159 3.061 64.61 90.05 127.18
Last column: magnetic moment on the atom in μB.
Fractional positions:
Cl (0.500, 0.000, 0.500)  0.04
Mg (0.000, 0.000, 0.000)  -0.02
Mg (0.000, 0.500, 0.500)  -0.02
Ru (0.500, 0.500, 0.000)  1.14

=====

# 16
MgRuCl2 | PBE | optimized geometry

Calculated values
* uncorrected formation energy: -0.0671 eV/atom
* space group: Pmmm
* magnetic moment: 1.308 Bohr magnetons per cell

Lattice parameters (Å, degrees): 3.095 5.786 4.030 90.00 90.00 90.00
Last column: magnetic moment on the atom in μB.
Fractional positions:
Cl (0.000, 0.000, 0.000)  0.00
Cl (0.500, 0.500, 0.000)  0.05
Mg (0.500, 0.000, 0.500)  -0.02
Ru (0.000, 0.500, 0.500)  1.24

=====

# 17
MgRuCl2 | PBE | optimized geometry

Calculated values
* uncorrected formation energy: -0.0994 eV/atom
* space group: P2/m
* magnetic moment: 0.362 Bohr magnetons per cell

Lattice parameters (Å, degrees): 4.010 3.479 5.181 90.22 90.00 90.00
Last column: magnetic moment on the atom in μB.
Fractional positions:
Cl (0.000, 0.960, 0.987)  0.01
Cl (0.000, 0.540, 0.513)  0.01
Mg (0.500, 0.250, 0.250)  0.00
Ru (0.500, 0.750, 0.750)  0.31

=====

# 18
MgRuCl2 | PBE | optimized geometry

Calculated values
* uncorrected formation energy: 0.0078 eV/atom
* space group: I-42d
* magnetic moment: 4.124 Bohr magnetons per cell

Lattice parameters (Å, degrees): 5.526 5.526 7.023 66.83 66.83 90.00
Last column: magnetic moment on the atom in μB.
Fractional positions:
Ru (0.000, 0.000, 0.000)  1.81
Ru (0.750, 0.250, 0.500)  1.81
Mg (0.500, 0.500, 0.000)  0.00
Mg (0.250, 0.750, 0.500)  0.00
Cl (0.610, 0.125, 0.250)  0.05
Cl (0.140, 0.625, 0.250)  0.05
Cl (0.375, 0.390, 0.750)  0.05
Cl (0.875, 0.860, 0.750)  0.05

=====

# 19
Mg2RuCl | PBE | optimized geometry

Calculated values
* uncorrected formation energy: 0.1429 eV/atom
* space group: Immm
* magnetic moment: 0.806 Bohr magnetons per cell

Lattice parameters (Å, degrees): 5.274 5.274 5.274 144.40 122.30 69.67
Last column: magnetic moment on the atom in μB.
Fractional positions:
Cl (0.250, 0.750, 0.500)  0.03
Mg (0.011, 0.011, 0.000)  0.00
Mg (0.489, 0.489, 0.000)  0.00
Ru (0.750, 0.250, 0.500)  0.73

=====

# 20
MgRu2Cl | PBE | optimized geometry

Calculated values
* uncorrected formation energy: 0.6346 eV/atom
* space group: I-4m2
* magnetic moment: 0.736 Bohr magnetons per cell

Lattice parameters (Å, degrees): 4.474 4.474 4.474 119.89 119.89 90.19
Last column: magnetic moment on the atom in μB.
Fractional positions:
Cl (0.500, 0.500, 0.000)  0.03
Mg (0.750, 0.250, 0.500)  0.01
Ru (0.000, 0.000, 0.000)  0.26
Ru (0.250, 0.750, 0.500)  0.37